This record from the Alexandria database describes a geometry-optimized Nb2IrN structure. The functional is PBE-GGA.

The energy is -9.61 eV per atom. Its density of states at the Fermi level is 7.390 states/eV per cell. Its crystal system is tetragonal. For the spin magnetization, the calculation gives 0.00 Bohr magnetons per cell.

The space group is I-42d (No. 122) and the conventional cell measures 5.324, 5.324 and 10.062 Å, with angles of 90.00, 90.00 and 90.00 degrees. Symmetry generates all atoms from Nb at (0.175, 0.250, 0.125), Ir at (0.000, 0.000, 0.500) and N at (0.000, 0.000, 0.000).

***

This record from the Alexandria database describes a geometry-optimized TmTiFe4 structure. The functional is PBE-GGA.

Its density of states at the Fermi level is 16.137 states/eV per cell. Its crystal system is cubic. Its formation energy is -204 meV/atom. For the spin magnetization, the calculation gives 25.17 Bohr magnetons per cell.

The space group is F-43m (No. 216) and the conventional cell measures 7.000, 7.000 and 7.000 Å, with angles of 90.00, 90.00 and 90.00 degrees. Symmetry generates all atoms from Tm at (0.000, 0.000, 0.000), Ti at (0.250, 0.250, 0.750) and Fe at (0.125, 0.125, 0.375).

***

This record from the Alexandria database describes a geometry-optimized Ca5PbAu4 structure. The functional is PBE-GGA.

Its density of states at the Fermi level is 5.389 states/eV per cell. Its crystal system is tetragonal. Its formation energy is -746 meV/atom. For the spin magnetization, the calculation gives 0.00 Bohr magnetons per cell.

The space group is P4/mmm (No. 123) and the conventional cell measures 3.669, 3.669 and 18.795 Å, with angles of 90.00, 90.00 and 90.00 degrees. Symmetry generates all atoms from Ca at (0.000, 0.000, 0.000), Ca at (0.000, 0.000, 0.192), Ca at (0.000, 0.000, 0.383), Pb at (0.500, 0.500, 0.500), Au at (0.500, 0.500, 0.096) and Au at (0.500, 0.500, 0.288).

***

This record from the Alexandria database describes a geometry-optimized SiAs4Br structure. The functional is PBE-GGA.

The energy is -3.75 eV per atom. Its density of states at the Fermi level is 13.314 states/eV per cell. Its crystal system is cubic. For the spin magnetization, the calculation gives 0.00 Bohr magnetons per cell.

The space group is F-43m (No. 216) and the conventional cell measures 8.288, 8.288 and 8.288 Å, with angles of 90.00, 90.00 and 90.00 degrees. Symmetry generates all atoms from Si at (0.000, 0.000, 0.000), As at (0.108, 0.108, 0.608) and Br at (0.250, 0.250, 0.250).

***

This record from the Alexandria database describes a geometry-optimized Hf5Al2 structure. The functional is PBE-GGA.

Its density of states at the Fermi level is 26.199 states/eV per cell. Its crystal system is orthorhombic. Its formation energy is -104 meV/atom. For the spin magnetization, the calculation gives 0.00 Bohr magnetons per cell.

The space group is Cmcm (No. 63) and the conventional cell measures 4.152, 35.120 and 4.062 Å, with angles of 90.00, 90.00 and 90.00 degrees. Symmetry generates all atoms from Hf at (0.000, 0.033, 0.250), Hf at (0.000, 0.177, 0.750), Hf at (0.000, 0.249, 0.250), Hf at (0.000, 0.390, 0.750), Hf at (0.000, 0.463, 0.250), Al at (0.000, 0.096, 0.750) and Al at (0.000, 0.309, 0.750).

***

This record from the Alexandria database describes a geometry-optimized Ce5Sb4C structure. The functional is PBE-GGA.

The energy is -6.28 eV per atom. Its density of states at the Fermi level is 51.163 states/eV per cell. Its crystal system is tetragonal. For the spin magnetization, the calculation gives 7.12 Bohr magnetons per cell.

The space group is I4 (No. 79) and the conventional cell measures 9.632, 9.632 and 6.292 Å, with angles of 90.00, 90.00 and 90.00 degrees. Symmetry generates all atoms from Ce at (0.000, 0.000, 0.000), Ce at (0.093, 0.740, 0.561), Sb at (0.084, 0.692, 0.062) and C at (0.000, 0.000, 0.622).

***

This record from the Alexandria database describes a geometry-optimized Nd4BiPd2 structure. The functional is PBE-GGA.

Its density of states at the Fermi level is 60.038 states/eV per cell. Its crystal system is orthorhombic. Its formation energy is -626 meV/atom. For the spin magnetization, the calculation gives 0.00 Bohr magnetons per cell.

The space group is Fdd2 (No. 43) and the conventional cell measures 13.387, 13.568 and 9.034 Å, with angles of 90.00, 90.00 and 90.00 degrees. Symmetry generates all atoms from Nd at (0.062, 0.115, 0.000), Nd at (0.123, 0.201, 0.598), Bi at (0.000, 0.000, 0.672) and Pd at (0.066, 0.176, 0.298).

***

This record from the Alexandria database describes a geometry-optimized Y6HoMg structure. The functional is PBE-GGA.

Its density of states at the Fermi level is 41.394 states/eV per cell. Its crystal system is trigonal. Its formation energy is 120 meV/atom. For the spin magnetization, the calculation gives 0.00 Bohr magnetons per cell.

The space group is R-3 (No. 148, hexagonal axes) and the conventional cell measures 9.3380, 9.3380 and 10.0674 Å, with angles of 90.00, 90.00 and 120.00 degrees. Symmetry generates all atoms from Y at (0.0217, 0.2636, 0.2214), Ho at (0.0000, 0.0000, 0.5000) and Mg at (0.0000, 0.0000, 0.0000).

***

This record from the Alexandria database describes a geometry-optimized Ho2GaRh3 structure. The functional is PBE-GGA.

Its density of states at the Fermi level is 6.880 states/eV per cell. Its crystal system is orthorhombic. Its formation energy is -553 meV/atom. For the spin magnetization, the calculation gives 0.00 Bohr magnetons per cell.

The space group is Immm (No. 71) and the conventional cell measures 4.466, 5.328 and 9.744 Å, with angles of 90.00, 90.00 and 90.00 degrees. Symmetry generates all atoms from Ho at (0.000, 0.000, 0.186), Ga at (0.000, 0.000, 0.500), Rh at (0.000, 0.500, 0.136) and Rh at (0.000, 0.500, 0.500).

***

This record from the Alexandria database describes a geometry-optimized V2GeC structure. The functional is PBE-GGA.

Its density of states at the Fermi level is 13.726 states/eV per cell. Its crystal system is tetragonal. Its formation energy is 109 meV/atom. For the spin magnetization, the calculation gives 0.00 Bohr magnetons per cell.

The space group is I-42d (No. 122) and the conventional cell measures 6.091, 6.091 and 5.437 Å, with angles of 90.00, 90.00 and 90.00 degrees. Symmetry generates all atoms from V at (0.175, 0.250, 0.125), Ge at (0.000, 0.000, 0.500) and C at (0.000, 0.000, 0.000).

***

This record from the Alexandria database describes a geometry-optimized CaMnZn4 structure. The functional is PBE-GGA.

Its density of states at the Fermi level is 8.951 states/eV per cell. Its crystal system is cubic. Its formation energy is -70 meV/atom. For the spin magnetization, the calculation gives 12.72 Bohr magnetons per cell.

The space group is F-43m (No. 216) and the conventional cell measures 7.409, 7.409 and 7.409 Å, with angles of 90.00, 90.00 and 90.00 degrees. Symmetry generates all atoms from Ca at (0.000, 0.000, 0.000), Mn at (0.250, 0.250, 0.750) and Zn at (0.124, 0.124, 0.376).

***

This record from the Alexandria database describes a geometry-optimized Na3Tb2TiTe6 structure. The functional is PBE-GGA.

The energy is -4.44 eV per atom. Its density of states at the Fermi level is 13.109 states/eV per cell. Its crystal system is monoclinic. For the spin magnetization, the calculation gives 2.00 Bohr magnetons per cell.

The space group is C2/m (No. 12) and the conventional cell measures 7.491, 12.983 and 7.973 Å, with angles of 90.00, 108.36 and 90.00 degrees. Symmetry generates all atoms from Na at (0.000, 0.000, 0.000), Na at (0.000, 0.327, 0.000), Tb at (0.000, 0.166, 0.500), Ti at (0.000, 0.500, 0.500), Te at (0.232, 0.343, 0.726) and Te at (0.236, 0.500, 0.274).